No. 1
Density functional theory data (PBE) for a relaxed NaTiO3 crystal.

Output
E (hartree per atom): -0.2588
Total magnetic moment (μB per cell): 0.00
Uncorrected formation energy (meV/atom): -2224

Unit cell a=3.8927 b=3.8927 c=3.8927 alpha=89.99 beta=89.99 gamma=89.99
Sites, in units of the cell vectors:
O1 0.0753 0.5754 0.5754
O2 0.5754 0.0753 0.5754
O3 0.5754 0.5754 0.0753
Ti1 0.5747 0.5747 0.5747
Na1 0.0742 0.0742 0.0742

No. 2
Density functional theory data (PBE) for a relaxed NdB2N2 crystal.

Output
E (hartree per atom): -0.2666
Total magnetic moment (μB per cell): 0.00
Uncorrected formation energy (meV/atom): -300

Unit cell a=2.8053 b=4.7855 c=4.7855 alpha=120.00 beta=90.00 gamma=90.00
Sites, in units of the cell vectors:
N1 0.9998 0.3333 0.6667
N2 0.0002 0.6667 0.3333
Nd1 0.0000 0.0000 0.0000
B1 0.5002 0.6667 0.3333
B2 0.4998 0.3333 0.6667

No. 3
Density functional theory data (PBE) for a relaxed Sm2TiGa4Au3 crystal.

Output
Formation energy (meV per atom): -596
E (hartree per atom): -0.1662
Total magnetic moment (μB per cell): 0.00

Unit cell a=4.2234 b=4.2234 c=11.4191 alpha=90.00 beta=90.00 gamma=90.00
Sites, in units of the cell vectors:
Au1 0.5000 0.0000 0.8627
Au2 0.0000 0.5000 0.1373
Au3 0.0000 0.0000 0.5000
Sm1 0.0000 0.5000 0.7475
Sm2 0.5000 0.0000 0.2525
Ga1 0.0000 0.5000 0.3599
Ga2 0.5000 0.0000 0.6401
Ga3 0.0000 0.0000 0.0000
Ga4 0.5000 0.5000 0.0000
Ti1 0.5000 0.5000 0.5000

No. 4
Density functional theory data (PBE) for a relaxed CePuHfZr crystal.

Output
Formation energy (meV per atom): 268
E (hartree per atom): -0.3463
Total magnetic moment (μB per cell): 6.76

Unit cell a=5.1797 b=5.1797 c=5.1797 alpha=60.00 beta=60.00 gamma=60.00
Site moments in Bohr magnetons follow the coordinates.
Sites, in units of the cell vectors:
Ce1 0.5000 0.5000 0.5000  0.41
Hf1 0.2500 0.2500 0.2500  0.17
Zr1 0.7500 0.7500 0.7500  0.25
Pu1 0.0000 0.0000 0.0000  5.36